[1]
Here is crystalline HgCl2 at its relaxed geometry from the Alexandria database. Energies are from PBE.

Summary:
As for the space-group type: Pnnm, No. 58. The calculation puts the energy relative to the elements, uncorrected at -157 kJ/mol of formula units. For the total moment, the calculation gives 0.000 μB per atom.

Unit cell a=6.3765 b=6.9872 c=3.8688 alpha=90.00 beta=90.00 gamma=90.00
Closest atoms and distances in Å follow each position.
Atoms (fractional coordinates):
1 Hg 0.0000 0.0000 0.0000  4 Cl 2.62
2 Hg 0.5000 0.5000 0.5000  4 Cl 2.62
3 Cl 0.2295 0.1424 0.5000  2 Hg 2.62
4 Cl 0.2705 0.6424 0.0000  2 Hg 2.62
5 Cl 0.7295 0.3576 0.0000  2 Hg 2.62
6 Cl 0.7705 0.8576 0.5000  2 Hg 2.62

[2]
Here is crystalline HgCl8 at its relaxed geometry from the Alexandria database. Energies are from PBE.

Summary:
As for the space-group type: I4/mmm, No. 139. The calculation puts the density of states at the Fermi level at 9.2 states/eV per cell. The calculation puts the energy relative to the elements, uncorrected at 328 kJ/mol of formula units. For the total moment, the calculation gives 0.000 μB per atom.

Unit cell a=8.9035 b=8.9035 c=8.9035 alpha=93.19 beta=93.19 gamma=152.71
Closest atoms and distances in Å follow each position.
Atoms (fractional coordinates):
1 Hg 0.0000 0.0000 0.0000  4 Cl 2.59
2 Cl 0.0000 0.2118 0.2118  1 Hg 2.59, 4 Cl 2.89
3 Cl 0.0000 0.7882 0.7882  1 Hg 2.59, 4 Cl 2.89
4 Cl 0.2118 0.0000 0.2118  1 Hg 2.59, 4 Cl 2.89
5 Cl 0.3505 0.3505 0.7010  4 Cl 2.89
6 Cl 0.3505 0.6495 0.0000  4 Cl 2.89
7 Cl 0.6495 0.3505 0.0000  4 Cl 2.89
8 Cl 0.6495 0.6495 0.2990  4 Cl 2.89
9 Cl 0.7882 0.0000 0.7882  1 Hg 2.59, 4 Cl 2.89

[3]
Here is crystalline HgCl3 at its relaxed geometry from the Alexandria database. Energies are from PBE.

Summary:
As for the space-group type: Imm2, No. 44. The calculation puts the density of states at the Fermi level at 3.9 states/eV per cell. The calculation puts the energy relative to the elements, uncorrected at -56 kJ/mol of formula units. For the total moment, the calculation gives 0.232 μB per atom.

Unit cell a=6.0450 b=6.0450 c=6.0450 alpha=144.68 beta=93.31 gamma=97.26
Closest atoms and distances in Å follow each position.
Atoms (fractional coordinates):
1 Hg 0.0000 0.0000 0.0000  6 Cl 2.64-2.83
2 Cl 0.3040 0.5948 0.7092  2 Hg 2.64
3 Cl 0.7295 0.2295 0.5000  2 Hg 2.83
4 Cl 0.8856 0.5948 0.2908  2 Hg 2.64

[4]
Here is crystalline Hg2Cl at its relaxed geometry from the Alexandria database. Energies are from PBE.

Summary:
As for the offset from the most stable computed form: 71 kJ/mol of formula units. As for the space-group type: P-62m, No. 189. The calculation puts the density of states at the Fermi level at 8.0 states/eV per cell. The calculation puts the energy relative to the elements, uncorrected at -24 kJ/mol of formula units. For the total moment, the calculation gives 0.000 μB per atom.

Unit cell a=8.6482 b=8.6482 c=4.5102 alpha=90.00 beta=90.00 gamma=120.00
Closest atoms and distances in Å follow each position.
Atoms (fractional coordinates):
1 Hg 0.0000 0.2368 0.0000  2 Hg 2.88, 2 Cl 3.05
2 Hg 0.0000 0.4435 0.5000  2 Hg 2.88
3 Hg 0.2368 0.0000 0.0000  2 Hg 2.88, 2 Cl 3.05
4 Hg 0.4435 0.0000 0.5000  2 Hg 2.88
5 Hg 0.5565 0.5565 0.5000  2 Hg 2.88
6 Hg 0.7632 0.7632 0.0000  2 Hg 2.88, 2 Cl 3.05
7 Cl 0.0000 0.0000 0.5000  6 Hg 3.05
8 Cl 0.3333 0.6667 0.0000  9 Hg 3.38-3.40
9 Cl 0.6667 0.3333 0.0000  9 Hg 3.38-3.40

[5]
Here is crystalline Hg3Cl at its relaxed geometry from the Alexandria database. Energies are from PBE.

Summary:
As for the offset from the most stable computed form: 29 kJ/mol of formula units. As for the space-group type: Pmmm, No. 47. The calculation puts the density of states at the Fermi level at 2.3 states/eV per cell. The calculation puts the energy relative to the elements, uncorrected at -54 kJ/mol of formula units. For the total moment, the calculation gives 0.000 μB per atom.

Unit cell a=4.4524 b=4.8156 c=5.6627 alpha=90.00 beta=90.00 gamma=90.00
Closest atoms and distances in Å follow each position.
Atoms (fractional coordinates):
1 Hg 0.0000 0.0000 0.0000  2 Hg 2.83
2 Hg 0.0000 0.0000 0.5000  2 Hg 2.83
3 Hg 0.5000 0.5000 0.0000  2 Cl 2.83
4 Cl 0.5000 0.5000 0.5000  2 Hg 2.83

[6]
Here is crystalline HgCl at its relaxed geometry from the Alexandria database. Energies are from PBE.

Summary:
As for the offset from the most stable computed form: 52 kJ/mol of formula units. As for the space-group type: I-43m, No. 217. The calculation puts the density of states at the Fermi level at 1.1 states/eV per cell. The calculation puts the energy relative to the elements, uncorrected at -52 kJ/mol of formula units. For the total moment, the calculation gives 0.000 μB per atom.

Unit cell a=7.5651 b=7.5651 c=7.5651 alpha=109.47 beta=109.47 gamma=109.47
Closest atoms and distances in Å follow each position.
Atoms (fractional coordinates):
1 Hg 0.0000 0.0000 0.2474  1 Cl 2.50
2 Hg 0.0000 0.2474 0.0000  1 Cl 2.50
3 Hg 0.2474 0.0000 0.0000  1 Cl 2.50
4 Hg 0.7526 0.7526 0.7526  1 Cl 2.50
5 Cl 0.0000 0.0000 0.5785  1 Hg 2.50
6 Cl 0.0000 0.5785 0.0000  1 Hg 2.50
7 Cl 0.4215 0.4215 0.4215  1 Hg 2.50
8 Cl 0.5785 0.0000 0.0000  1 Hg 2.50

[7]
Here is crystalline HgCl2 at its relaxed geometry from the Alexandria database. Energies are from PBE.

Summary:
As for the space-group type: Cmcm, No. 63. The calculation puts the density of states at the Fermi level at 0.0 states/eV per cell. The calculation puts the energy relative to the elements, uncorrected at -158 kJ/mol of formula units. For the total moment, the calculation gives 0.000 μB per atom.

Unit cell a=8.6911 b=8.6911 c=5.9139 alpha=90.00 beta=90.00 gamma=154.28
Closest atoms and distances in Å follow each position.
Atoms (fractional coordinates):
1 Hg 0.1768 0.8232 0.7500  4 Cl 2.55-2.73
2 Hg 0.8232 0.1768 0.2500  4 Cl 2.55-2.73
3 Cl 0.2095 0.7905 0.2500  4 Hg 2.73-3.01
4 Cl 0.4216 0.5784 0.2500  2 Hg 2.55
5 Cl 0.5784 0.4216 0.7500  2 Hg 2.55
6 Cl 0.7905 0.2095 0.7500  4 Hg 2.73-3.01

[8]
Here is crystalline HgCl at its relaxed geometry from the Alexandria database. Energies are from PBE.

Summary:
As for the offset from the most stable computed form: 33 kJ/mol of formula units. As for the space-group type: Cm, No. 8. The calculation puts the density of states at the Fermi level at 1.1 states/eV per cell. The calculation puts the energy relative to the elements, uncorrected at -72 kJ/mol of formula units. For the total moment, the calculation gives 0.000 μB per atom.

Unit cell a=6.8755 b=6.8755 c=9.4463 alpha=131.92 beta=131.92 gamma=33.05
Closest atoms and distances in Å follow each position.
Atoms (fractional coordinates):
1 Hg 0.0000 0.0000 0.0000  2 Hg 2.88, 2 Cl 3.05
2 Hg 0.5559 0.5559 0.6577  5 Cl 2.65-2.75
3 Hg 0.6574 0.6574 0.3126  2 Hg 2.88, 2 Cl 3.05
4 Cl 0.2106 0.2106 0.9161  2 Hg 2.65
5 Cl 0.3466 0.3466 0.6562  5 Hg 2.75-3.05
6 Cl 0.9524 0.9524 0.3992  2 Hg 2.65

[9]
Here is crystalline Hg5Cl at its relaxed geometry from the Alexandria database. Energies are from PBE.

Summary:
As for the offset from the most stable computed form: 3 kJ/mol of formula units. As for the space-group type: Cm, No. 8. The calculation puts the density of states at the Fermi level at 0.4 states/eV per cell. The calculation puts the energy relative to the elements, uncorrected at -86 kJ/mol of formula units. For the total moment, the calculation gives 0.000 μB per atom.

Unit cell a=6.8604 b=6.8604 c=7.4747 alpha=122.08 beta=122.08 gamma=37.55
Closest atoms and distances in Å follow each position.
Atoms (fractional coordinates):
1 Hg 0.0000 0.0000 0.0000  5 Hg 3.08-3.11, 1 Cl 3.26
2 Hg 0.3538 0.3538 0.0529  5 Hg 3.08-3.11, 1 Cl 3.26
3 Hg 0.5147 0.5147 0.5506  4 Hg 2.95-3.08, 2 Cl 3.12
4 Hg 0.6769 0.6769 0.0262  6 Hg 2.95-3.11
5 Hg 0.8368 0.8368 0.5021  4 Hg 2.95-3.08, 2 Cl 3.12
6 Cl 0.1760 0.1760 0.5266  6 Hg 3.12-3.26

[10]
Here is crystalline HgCl5 at its relaxed geometry from the Alexandria database. Energies are from PBE.

Summary:
As for the offset from the most stable computed form: 0 kJ/mol of formula units. As for the space-group type: Pm, No. 6. The calculation puts the density of states at the Fermi level at 6.4 states/eV per cell. The calculation puts the energy relative to the elements, uncorrected at -94 kJ/mol of formula units. For the total moment, the calculation gives 0.018 μB per atom.

Unit cell a=4.1613 b=5.1574 c=9.8251 alpha=90.00 beta=99.05 gamma=90.00
Closest atoms and distances in Å follow each position.
Atoms (fractional coordinates):
1 Hg 0.0000 0.0000 0.0000  4 Cl 2.38-2.58
2 Cl 0.0032 0.5000 0.9992  2 Hg 2.58
3 Cl 0.2936 0.0000 0.8109  1 Hg 2.38
4 Cl 0.4350 0.5000 0.5934  1 Cl 1.99
5 Cl 0.5405 0.5000 0.4030  1 Cl 1.99
6 Cl 0.7049 0.0000 0.1886  1 Hg 2.38

[11]
Here is crystalline HgCl at its relaxed geometry from the Alexandria database. Energies are from PBE.

Summary:
As for the offset from the most stable computed form: 79 kJ/mol of formula units. As for the space-group type: P4/nmm, No. 129. The calculation puts the density of states at the Fermi level at 3.0 states/eV per cell. The calculation puts the energy relative to the elements, uncorrected at -25 kJ/mol of formula units. For the total moment, the calculation gives 0.000 μB per atom.

Unit cell a=3.6226 b=3.6226 c=7.8595 alpha=90.00 beta=90.00 gamma=90.00
Closest atoms and distances in Å follow each position.
Atoms (fractional coordinates):
1 Hg 0.2500 0.2500 0.1348  4 Cl 2.91
2 Hg 0.7500 0.7500 0.8652  4 Cl 2.91
3 Cl 0.2500 0.2500 0.6895  4 Hg 2.91
4 Cl 0.7500 0.7500 0.3105  4 Hg 2.91

[12]
Here is crystalline Hg2Cl at its relaxed geometry from the Alexandria database. Energies are from PBE.

Summary:
As for the offset from the most stable computed form: 86 kJ/mol of formula units. As for the space-group type: Fd-3m, No. 227. The calculation puts the density of states at the Fermi level at 6.2 states/eV per cell. The calculation puts the energy relative to the elements, uncorrected at -9 kJ/mol of formula units. For the total moment, the calculation gives 0.000 μB per atom.

Unit cell a=6.0032 b=6.0032 c=6.0032 alpha=60.00 beta=60.00 gamma=60.00
Closest atoms and distances in Å follow each position.
Atoms (fractional coordinates):
1 Hg 0.0000 0.0000 0.0000  6 Hg 3.00
2 Hg 0.0000 0.0000 0.5000  6 Hg 3.00
3 Hg 0.0000 0.5000 0.0000  6 Hg 3.00
4 Hg 0.5000 0.0000 0.0000  6 Hg 3.00
5 Cl 0.3750 0.3750 0.3750  12 Hg 3.52, 4 Cl 3.68
6 Cl 0.6250 0.6250 0.6250  12 Hg 3.52, 4 Cl 3.68